Density functional theory data (PBE-GGA) for Hf3MoI after structural relaxation.

Cell: 5.109 5.109 5.109 Å, 90.00 90.00 90.00°
Element x y z (fractional)
Hf: 0.000 0.000 0.500
Hf: 0.000 0.500 0.000
Hf: 0.500 0.000 0.000
Mo: 0.500 0.500 0.500
I: 0.000 0.000 0.000

Properties
As for the space-group type: Pm-3m, No. 221. The calculated density comes out at 9.4 g cm⁻³. The calculation puts the density of states at the Fermi level at 5.42 states/eV per cell. Its raw formation energy is 1.64 eV per atom.

---

Density functional theory data (PBE-GGA) for HfMoI2 after structural relaxation.

Cell: 4.961 4.961 4.961 Å, 60.00 60.00 60.00°
Element x y z (fractional)
Hf: 0.000 0.000 0.000
Mo: 0.500 0.500 0.500
I: 0.250 0.250 0.250
I: 0.750 0.750 0.750

Properties
As for the space-group type: Fm-3m, No. 225. The calculated density comes out at 10.2 g cm⁻³. The calculation puts the density of states at the Fermi level at 5.47 states/eV per cell. Its raw formation energy is 0.71 eV per atom.

---

Density functional theory data (PBE-GGA) for HfMo3I after structural relaxation.

Cell: 4.828 4.828 4.828 Å, 90.00 90.00 90.00°
Element x y z (fractional)
Hf: 0.000 0.000 0.000
Mo: 0.000 0.500 0.500
Mo: 0.500 0.000 0.500
Mo: 0.500 0.500 0.000
I: 0.500 0.500 0.500

Properties
As for the space-group type: Pm-3m, No. 221. The calculated density comes out at 8.8 g cm⁻³. The calculation puts the density of states at the Fermi level at 5.52 states/eV per cell. Its raw formation energy is 1.80 eV per atom.

---

Density functional theory data (PBE-GGA) for HfMo3I after structural relaxation.

Cell: 4.903 4.903 4.903 Å, 90.00 90.00 90.00°
Element x y z (fractional)
Hf: 0.000 0.000 0.000
Mo: 0.000 0.000 0.500
Mo: 0.000 0.500 0.000
Mo: 0.500 0.000 0.000
I: 0.500 0.500 0.500

Properties
As for the space-group type: Pm-3m, No. 221. The calculated density comes out at 8.4 g cm⁻³. The calculation puts the density of states at the Fermi level at 8.03 states/eV per cell. Its raw formation energy is 2.13 eV per atom.

---

Density functional theory data (PBE-GGA) for HfMo2I after structural relaxation.

Cell: 10.823 10.823 10.823 Å, 158.92 158.92 29.99°
Element x y z (fractional)
Hf: 0.000 0.000 0.000
Hf: 0.750 0.250 0.500
Mo: 0.095 0.625 0.970
Mo: 0.375 0.345 0.470
Mo: 0.655 0.125 0.030
Mo: 0.875 0.905 0.530
I: 0.250 0.750 0.500
I: 0.500 0.500 0.000

Properties
As for the space-group type: I-42d, No. 122. The calculated density comes out at 10.1 g cm⁻³. The calculation puts the density of states at the Fermi level at 7.65 states/eV per cell. Its raw formation energy is 0.94 eV per atom.

---

Density functional theory data (PBE-GGA) for HfMoI2 after structural relaxation.

Cell: 7.336 7.336 7.336 Å, 127.29 127.29 77.78°
Element x y z (fractional)
Hf: 0.000 0.000 0.000
Hf: 0.750 0.250 0.500
Mo: 0.250 0.750 0.500
Mo: 0.500 0.500 0.000
I: 0.147 0.625 0.022
I: 0.375 0.397 0.522
I: 0.603 0.125 0.978
I: 0.875 0.853 0.478

Properties
As for the space-group type: I-42d, No. 122. The calculated density comes out at 7.2 g cm⁻³. The calculation puts the density of states at the Fermi level at 11.09 states/eV per cell. Its raw formation energy is 1.15 eV per atom.

---

Density functional theory data (PBE-GGA) for HfMoI2N after structural relaxation.

Cell: 5.581 5.581 3.782 Å, 90.00 90.00 90.00°
Element x y z (fractional)
Hf: 0.000 0.000 0.000
Mo: 0.500 0.500 0.500
I: 0.000 0.500 0.500
I: 0.500 0.000 0.500
N: 0.500 0.500 0.000

Properties
As for the space-group type: P4/mmm, No. 123. The calculated density comes out at 7.6 g cm⁻³. The calculation puts the density of states at the Fermi level at 6.05 states/eV per cell. Its raw formation energy is 0.67 eV per atom.

---

Density functional theory data (PBE-GGA) for HfMoI2N after structural relaxation.

Cell: 5.908 5.908 3.977 Å, 90.00 90.00 90.00°
Element x y z (fractional)
Hf: 0.000 0.000 0.000
Mo: 0.500 0.500 0.500
I: 0.000 0.500 0.000
I: 0.500 0.000 0.000
N: 0.000 0.000 0.500

Properties
As for the space-group type: P4/mmm, No. 123. The calculated density comes out at 6.5 g cm⁻³. The calculation puts the density of states at the Fermi level at 1.22 states/eV per cell. Its raw formation energy is 0.57 eV per atom.